Density functional theory data (PBE) for a geometry-optimized Na2Si2AgAu5 structure.

* uncorrected formation energy: -0.1677 eV per atom
* crystal system: tetragonal
* volume: 384.4 Å³/cell
* VASP energy: -68.8 eV per cell
* ρ: 10.32 g/cm³

Cell and atoms, written as CIF:
```
data_Na2Si2AgAu5
_cell_length_a 10.745
_cell_length_b 10.745
_cell_length_c 3.330
_cell_angle_alpha 90.00
_cell_angle_beta 90.00
_cell_angle_gamma 90.00
_symmetry_space_group_name_H-M 'P 4/m b m'
_symmetry_Int_Tables_number 127
_symmetry_space_group_name_Hall '-P 4 2ab'
loop_
_atom_site_label
_atom_site_fract_x
_atom_site_fract_y
_atom_site_fract_z
Na1 0.174 0.326 0.000
Si1 0.129 0.629 0.000
Ag1 0.000 0.000 0.000
Au1 0.000 0.500 0.500
Au2 0.066 0.797 0.500
```

***

Density functional theory data (PBE) for a geometry-optimized AlNiIr2 structure.

* formation energy: -0.370 eV/atom
* crystal system: monoclinic
* volume: 107.9 Å³/cell
* VASP energy: -57.5 eV per cell
* ρ: 14.47 g/cm³

Cell and atoms, written as CIF:
```
data_AlNiIr2
_cell_length_a 8.865
_cell_length_b 2.765
_cell_length_c 4.492
_cell_angle_alpha 90.00
_cell_angle_beta 101.47
_cell_angle_gamma 90.00
_symmetry_space_group_name_H-M 'C 1 m 1'
_symmetry_Int_Tables_number 8
loop_
_symmetry_equiv_pos_as_xyz
'x,y,z'
'x,-y,z'
'x+1/2,y+1/2,z'
'x+1/2,-y+1/2,z'
loop_
_atom_site_label
_atom_site_fract_x
_atom_site_fract_y
_atom_site_fract_z
Al1 0.000 0.000 0.000
Ni1 0.247 0.500 0.237
Ir1 0.000 0.500 0.487
Ir2 0.251 0.000 0.735
```

***

Copy entry 1 word for word.
Density functional theory data (PBE) for a geometry-optimized Na2Si2AgAu5 structure.

* uncorrected formation energy: -0.1677 eV per atom
* crystal system: tetragonal
* volume: 384.4 Å³/cell
* VASP energy: -68.8 eV per cell
* ρ: 10.32 g/cm³

Cell and atoms, written as CIF:
```
data_Na2Si2AgAu5
_cell_length_a 10.745
_cell_length_b 10.745
_cell_length_c 3.330
_cell_angle_alpha 90.00
_cell_angle_beta 90.00
_cell_angle_gamma 90.00
_symmetry_space_group_name_H-M 'P 4/m b m'
_symmetry_Int_Tables_number 127
_symmetry_space_group_name_Hall '-P 4 2ab'
loop_
_atom_site_label
_atom_site_fract_x
_atom_site_fract_y
_atom_site_fract_z
Na1 0.174 0.326 0.000
Si1 0.129 0.629 0.000
Ag1 0.000 0.000 0.000
Au1 0.000 0.500 0.500
Au2 0.066 0.797 0.500
```

***

> Which of these has the highest volume?

Na2Si2AgAu5

***

> Look up the VASP energy of the first one.

-68.8 eV per cell